A relaxed Y2PdPbO5 crystal. Source: Alexandria via LeMat-Bulk, functional PBE.

Cell lengths 6.5524, 6.5524, 5.8719 Å; angles 90.00, 90.00, 90.00 degrees
Last column: nearest neighbours and their distance in Å.
Space group P4/mbm (No. 127)
Inequivalent atoms, fractional coordinates:
Y  0.1733  0.3267  0.0000 [4 per cell]  4 O 2.22-2.42
Pd  0.0000  0.5000  0.5000 [2 per cell]  4 O 2.01
Pb  0.0000  0.0000  0.5000 [2 per cell]  10 O 2.94-2.95, 4 Pd 3.28
O  0.0000  0.0000  0.0000 [2 per cell]  4 Y 2.42
O  0.1410  0.6410  0.2401 [8 per cell]  1 Pd 2.01, 1 Y 2.22

Values from the calculation:
For the density of states at the Fermi level, the calculation gives 0.00 states/eV/f.u.

A relaxed YPdPb2O6 crystal. Source: Alexandria via LeMat-Bulk, functional PBE.

Cell lengths 5.7843, 5.9302, 10.0892 Å; angles 90.00, 124.97, 90.00 degrees
Last column: nearest neighbours and their distance in Å.
Space group P2_1/c (No. 14)
Inequivalent atoms, fractional coordinates:
Y  0.0000  0.0000  0.0000 [2 per cell]  6 O 2.26-2.27
Pd  0.5000  0.0000  0.5000 [2 per cell]  6 O 2.03
Pb  0.2594  0.0426  0.7501 [4 per cell]  4 O 2.43-2.60
O  0.1684  0.0323  0.2653 [4 per cell]  1 Pd 2.03, 1 Y 2.27
O  0.2641  0.6902  0.0475 [4 per cell]  1 Pd 2.03, 1 Y 2.26
O  0.3638  0.2168  0.0488 [4 per cell]  1 Pd 2.03, 1 Y 2.27

Values from the calculation:
For the density of states at the Fermi level, the calculation gives 6.03 states/eV/f.u.

A relaxed ZnPdPbO4 crystal. Source: Alexandria via LeMat-Bulk, functional PBE.

Cell lengths 6.0225, 6.4188, 10.0157 Å; angles 90.00, 90.00, 90.00 degrees
Last column: nearest neighbours and their distance in Å.
Space group Imma (No. 74)
Inequivalent atoms, fractional coordinates:
Zn  0.0000  0.2500  0.1602 [4 per cell]  4 O 1.98-2.10
Pd  0.2500  0.2500  0.7500 [4 per cell]  4 O 2.07
Pb  0.0000  0.0000  0.5000 [4 per cell]  6 O 2.21-2.32
O  0.0000  0.0306  0.7310 [8 per cell]  2 Pd 2.07, 1 Zn 2.10
O  0.2444  0.2500  0.4649 [8 per cell]  1 Zn 1.98, 2 Pb 2.21

Values from the calculation:
For the density of states at the Fermi level, the calculation gives 1.48 states/eV/f.u.

A relaxed ZrPdPbO4 crystal. Source: Alexandria via LeMat-Bulk, functional PBE.

Cell lengths 6.1088, 6.4837, 11.1920 Å; angles 90.00, 90.00, 90.00 degrees
Last column: nearest neighbours and their distance in Å.
Space group Imma (No. 74)
Inequivalent atoms, fractional coordinates:
Zr  0.0000  0.0000  0.0000 [4 per cell]  6 O 2.12-2.20
Pd  0.2500  0.2500  0.2500 [4 per cell]  4 O 2.09
Pb  0.0000  0.2500  0.6636 [4 per cell]  4 O 2.31-2.52
O  0.0000  0.0511  0.1946 [8 per cell]  2 Pd 2.09, 1 Zr 2.20
O  0.2193  0.2500  0.9752 [8 per cell]  2 Zr 2.12, 1 Pb 2.31

A relaxed PmPbO crystal. Source: Alexandria via LeMat-Bulk, functional PBE.

Cell lengths 4.3080, 4.3080, 7.7738 Å; angles 90.00, 90.00, 90.00 degrees
Last column: nearest neighbours and their distance in Å.
Space group P4/nmm (No. 129, origin choice 2)
Inequivalent atoms, fractional coordinates:
Pm  0.2500  0.2500  0.1307 [2 per cell]  4 O 2.38
Pb  0.2500  0.7500  0.5000 [2 per cell]  4 Pb 3.05
O  0.2500  0.7500  0.0000 [2 per cell]  4 Pm 2.38

Values from the calculation:
For the density of states at the Fermi level, the calculation gives 0.86 states/eV/f.u. As for the offset from the most stable computed form: 0.0 meV/atom.

A relaxed Pm6PbO12 crystal. Source: Alexandria via LeMat-Bulk, functional PBE.

Cell lengths 10.3220, 10.3220, 9.6805 Å; angles 90.00, 90.00, 120.00 degrees
Last column: nearest neighbours and their distance in Å.
Space group R-3 (No. 148, hexagonal axes)
Inequivalent atoms, fractional coordinates:
Pm  0.0508  0.7906  0.1519 [18 per cell]  7 O 2.33-2.57
Pb  0.0000  0.0000  0.5000 [3 per cell]  6 O 2.21
O  0.0391  0.8163  0.9006 [18 per cell]  4 Pm 2.33-2.46
O  0.0436  0.8361  0.3927 [18 per cell]  1 Pb 2.21, 2 Pm 2.39

Values from the calculation:
For the density of states at the Fermi level, the calculation gives 11.72 states/eV/f.u.

A relaxed Pm3Pb2O crystal. Source: Alexandria via LeMat-Bulk, functional PBE.

Cell lengths 12.7542, 6.5390, 8.4885 Å; angles 90.00, 100.97, 90.00 degrees
Last column: nearest neighbours and their distance in Å.
Space group C2/c (No. 15)
Inequivalent atoms, fractional coordinates:
Pm  0.0000  0.1290  0.2500 [4 per cell]  1 O 2.21
Pm  0.1422  0.3959  0.6656 [8 per cell]  1 O 2.26
Pb  0.1659  0.0887  0.0203 [8 per cell]  1 Pb 3.07, 5 Pm 3.15-3.43
O  0.0000  0.4675  0.2500 [4 per cell]  3 Pm 2.21-2.26

Values from the calculation:
For the density of states at the Fermi level, the calculation gives 3.85 states/eV/f.u. As for the offset from the most stable computed form: 88.6 meV/atom.

A relaxed PmPbO4 crystal. Source: Alexandria via LeMat-Bulk, functional PBE.

Cell lengths 3.8759, 3.8759, 5.5944 Å; angles 90.00, 90.00, 90.00 degrees
Last column: nearest neighbours and their distance in Å.
Space group P4/mmm (No. 123)
Inequivalent atoms, fractional coordinates:
Pm  0.0000  0.0000  0.0000 [1 per cell]  8 O 2.43
Pb  0.5000  0.5000  0.5000 [1 per cell]  8 O 2.35
O  0.0000  0.5000  0.2619 [4 per cell]  2 Pb 2.35, 2 Pm 2.43

Values from the calculation:
For the density of states at the Fermi level, the calculation gives 4.83 states/eV/f.u. As for the offset from the most stable computed form: 20.1 meV/atom.

A relaxed Pm3PbO crystal. Source: Alexandria via LeMat-Bulk, functional PBE.

Cell lengths 4.9598, 4.9598, 4.9598 Å; angles 90.00, 90.00, 90.00 degrees
Last column: nearest neighbours and their distance in Å.
Space group Pm-3m (No. 221)
Inequivalent atoms, fractional coordinates:
Pm  0.0000  0.0000  0.5000 [3 per cell]  2 O 2.48
Pb  0.5000  0.5000  0.5000 [1 per cell]  12 Pm 3.51
O  0.0000  0.0000  0.0000 [1 per cell]  6 Pm 2.48

Values from the calculation:
For the density of states at the Fermi level, the calculation gives 4.43 states/eV/f.u. As for the offset from the most stable computed form: 0.0 meV/atom.

A relaxed Pm5Pb3O crystal. Source: Alexandria via LeMat-Bulk, functional PBE.

Cell lengths 9.2905, 9.2905, 6.6062 Å; angles 90.00, 90.00, 120.00 degrees
Last column: nearest neighbours and their distance in Å.
Space group P6_3/mcm (No. 193)
Inequivalent atoms, fractional coordinates:
Pm  0.0000  0.2204  0.2500 [6 per cell]  2 O 2.63
Pm  0.3333  0.6667  0.0000 [4 per cell]  6 Pb 3.29, 2 Pm 3.30
Pb  0.0000  0.3986  0.7500 [6 per cell]  7 Pm 3.21-3.54
O  0.0000  0.0000  0.0000 [2 per cell]  6 Pm 2.63

Values from the calculation:
For the density of states at the Fermi level, the calculation gives 3.69 states/eV/f.u.

A relaxed Pm3PbO3 crystal. Source: Alexandria via LeMat-Bulk, functional PBE.

Cell lengths 14.1829, 3.8519, 12.5164 Å; angles 90.00, 119.35, 90.00 degrees
Last column: nearest neighbours and their distance in Å.
Space group C2/m (No. 12)
Inequivalent atoms, fractional coordinates:
Pm  0.1246  0.0000  0.4399 [4 per cell]  3 O 2.29-2.36
Pm  0.1263  0.0000  0.9022 [4 per cell]  3 O 2.30-2.32
Pm  0.1556  0.5000  0.2029 [4 per cell]  4 O 2.30-2.41
Pb  0.1130  0.5000  0.6715 [4 per cell]  8 Pm 3.40-3.55
O  0.0610  0.0000  0.1859 [4 per cell]  3 Pm 2.30-2.32
O  0.1652  0.5000  0.0159 [4 per cell]  3 Pm 2.30-2.41
O  0.1922  0.5000  0.4047 [4 per cell]  4 Pm 2.29-2.36

Values from the calculation:
For the density of states at the Fermi level, the calculation gives 2.06 states/eV/f.u. As for the offset from the most stable computed form: 0.0 meV/atom.

A relaxed PmPbO crystal. Source: Alexandria via LeMat-Bulk, functional PBE.

Cell lengths 3.2917, 3.4271, 6.5654 Å; angles 90.00, 90.00, 90.00 degrees
Last column: nearest neighbours and their distance in Å.
Space group Pmmm (No. 47)
Inequivalent atoms, fractional coordinates:
Pm  0.0000  0.0000  0.0000 [1 per cell]  4 O 2.38
Pb  0.5000  0.0000  0.5000 [1 per cell]  4 Pb 3.29-3.43, 4 Pm 3.67
O  0.5000  0.5000  0.0000 [1 per cell]  4 Pm 2.38

Values from the calculation:
For the density of states at the Fermi level, the calculation gives 2.05 states/eV/f.u. As for the offset from the most stable computed form: 294.0 meV/atom.

Computed uncorrected formation energy (kcal/mol of atoms) in order:
-50.889, -31.963, -17.991, -39.884, -45.742, -64.656, -28.180, -37.861, -31.760, -25.156, -59.526, -38.963
Computed final energy (eV per atom) in order:
-7.387, -6.268, -5.067, -7.056, -6.456, -7.631, -5.660, -6.357, -5.961, -5.517, -7.272, -6.162